(1)
Density functional theory data (PBE) for a relaxed AcLaIn2S4 crystal.

Output
M_tot = 0.00 μB per cell
E = -42.31 eV per formula unit
Calculated density = 4.97 Mg/m³
Energy relative to the elements, uncorrected = -1.411 eV/atom
Symmetry = P2/m (10)

```
AcLaIn2S4
1.0
7.517 0.000 0.000
0.000 4.341 0.000
-2.502 0.000 7.417
Ac La In S
1 1 2 4
Direct
0.000 0.000 0.000 Ac
0.500 0.500 0.000 La
0.000 0.500 0.500 In
0.500 0.000 0.500 In
0.245 0.500 0.212 S
0.271 0.000 0.792 S
0.729 0.000 0.208 S
0.755 0.500 0.788 S
```

---

(2)
Density functional theory data (PBE) for a relaxed AcLaInSb crystal.

Output
M_tot = 0.00 μB per cell
E = -18.37 eV per formula unit
Calculated density = 7.63 Mg/m³
Energy relative to the elements, uncorrected = -0.617 eV/atom
Symmetry = F-43m (216)

```
AcLaInSb
1.0
0.000 4.033 4.033
4.033 0.000 4.033
4.033 4.033 0.000
Ac La In Sb
1 1 1 1
Direct
0.000 0.000 0.000 Ac
0.500 0.500 0.500 La
0.750 0.750 0.750 In
0.250 0.250 0.250 Sb
```

---

(3)
Density functional theory data (PBE) for a relaxed AcLaScIn crystal.

Output
M_tot = 0.97 μB per cell
E = -18.58 eV per formula unit
Calculated density = 6.75 Mg/m³
Symmetry = F-43m (216)

```
AcLaScIn
1.0
0.000 4.014 4.014
4.014 0.000 4.014
4.014 4.014 0.000
Ac La Sc In
1 1 1 1
Direct
0.000 0.000 0.000 Ac
0.500 0.500 0.500 La
0.250 0.250 0.250 Sc
0.750 0.750 0.750 In
```

---

(4)
Density functional theory data (PBE) for a relaxed AcLaInSi crystal.

Output
M_tot = 0.00 μB per cell
E = -18.64 eV per formula unit
Calculated density = 7.09 Mg/m³
Energy relative to the elements, uncorrected = -0.361 eV/atom
Symmetry = F-43m (216)

```
AcLaInSi
1.0
0.000 3.907 3.907
3.907 0.000 3.907
3.907 3.907 0.000
Ac La In Si
1 1 1 1
Direct
0.000 0.000 0.000 Ac
0.500 0.500 0.500 La
0.250 0.250 0.250 In
0.750 0.750 0.750 Si
```

---

(5)
Density functional theory data (PBE) for a relaxed Ac3La3InSn2 crystal.

Output
M_tot = 0.00 μB per cell
E = -41.88 eV per formula unit
Calculated density = 7.46 Mg/m³
Symmetry = P-62m (189)

```
Ac3La3InSn2
1.0
9.033 0.000 0.000
-4.517 7.823 0.000
0.000 0.000 4.565
Ac La In Sn
3 3 1 2
Direct
0.000 0.729 0.000 Ac
0.271 0.271 0.000 Ac
0.729 0.000 0.000 Ac
0.000 0.411 0.500 La
0.411 0.000 0.500 La
0.589 0.589 0.500 La
0.000 0.000 0.500 In
0.333 0.667 0.000 Sn
0.667 0.333 0.000 Sn
```

---

(6)
Density functional theory data (PBE) for a relaxed AcLaTbIn crystal.

Output
M_tot = 0.00 μB per cell
Energy above the lowest structure with this stoichiometry = 0.0000 eV per atom
E = -16.88 eV per formula unit
Calculated density = 7.84 Mg/m³
Symmetry = F-43m (216)

```
AcLaTbIn
1.0
0.000 4.077 4.077
4.077 0.000 4.077
4.077 4.077 0.000
Ac La Tb In
1 1 1 1
Direct
0.000 0.000 0.000 Ac
0.500 0.500 0.500 La
0.250 0.250 0.250 Tb
0.750 0.750 0.750 In
```

---

(7)
Density functional theory data (PBE) for a relaxed AcLaTbIn crystal.

Output
M_tot = 0.01 μB per cell
Energy above the lowest structure with this stoichiometry = 0.0337 eV per atom
E = -16.75 eV per formula unit
Calculated density = 8.07 Mg/m³
Symmetry = F-43m (216)

```
AcLaTbIn
1.0
0.000 4.038 4.038
4.038 0.000 4.038
4.038 4.038 0.000
Ac La Tb In
1 1 1 1
Direct
0.000 0.000 0.000 Ac
0.750 0.750 0.750 La
0.250 0.250 0.250 Tb
0.500 0.500 0.500 In
```

---

(8)
Density functional theory data (PBE) for a relaxed Ac2LaIn3Te6 crystal.

Output
M_tot = 0.00 μB per cell
E = -52.88 eV per formula unit
Calculated density = 6.00 Mg/m³
Energy relative to the elements, uncorrected = -1.056 eV/atom
Symmetry = C2/m (12)

```
Ac2LaIn3Te6
1.0
4.097 -7.094 0.000
4.097 7.094 0.000
-2.731 0.000 8.109
Ac La In Te
2 1 3 6
Direct
0.166 0.834 0.000 Ac
0.834 0.166 0.000 Ac
0.500 0.500 0.000 La
0.000 0.000 0.500 In
0.332 0.668 0.500 In
0.668 0.332 0.500 In
0.098 0.423 0.770 Te
0.252 0.252 0.232 Te
0.423 0.098 0.770 Te
0.577 0.902 0.230 Te
0.748 0.748 0.768 Te
0.902 0.577 0.230 Te
```